# 1
A plane-wave DFT calculation with PBE was carried out for an optimized crystal structure of Tl3AsW.

a = 5.435 Å, b = 5.435 Å, c = 5.435 Å
α = 90.00°, β = 90.00°, γ = 90.00°
Sites, in units of the cell vectors:
Tl1 0.000 0.000 0.500
Tl2 0.000 0.500 0.000
Tl3 0.500 0.000 0.000
As1 0.500 0.500 0.500
W1 0.000 0.000 0.000

Values from the calculation:
As for the density of states at the Fermi level: 0.96 states/eV/atom. The calculation puts the polymorph energy (0 for the lowest one) at 0 meV/atom. The formation energy from the elements is 1.127 eV/atom. For the total moment, the calculation gives 0.6473 μB per atom. The space-group type is Pm-3m (221). The calculation puts the total energy at -3.813 eV/atom. As for the crystal system: cubic.


# 2
A plane-wave DFT calculation with PBE was carried out for an optimized crystal structure of DyThZr2.

a = 11.031 Å, b = 11.031 Å, c = 11.031 Å
α = 17.75°, β = 17.75°, γ = 17.75°
Sites, in units of the cell vectors:
Dy1 0.000 0.000 0.000
Th1 0.500 0.500 0.500
Zr1 0.249 0.249 0.249
Zr2 0.751 0.751 0.751

Values from the calculation:
As for the density of states at the Fermi level: 1.42 states/eV/atom. The calculation puts the polymorph energy (0 for the lowest one) at 39 meV/atom. The formation energy from the elements is 0.145 eV/atom. For the total moment, the calculation gives 0.0000 μB per atom. The space-group type is R-3m (166). The calculation puts the total energy at -7.135 eV/atom. As for the crystal system: trigonal.


Q: Among the records above, which one has the highest total moment?
A: Tl3AsW


Q: formation energy from the elements of number 2 (DyThZr2)?
A: 0.145 eV/atom